# 1
4
Lattice="-3.185 -1.056 -0.386 -1.168 -0.753 -3.078 1.846 -11.019 0.142" Properties=species:S:1:pos:R:3 comment="PBEsol HgTe2Br, optimized geometry" relative_energy_mev_per_atom=0 formation_energy_uncorrected_ev_per_atom=0.122 pbc="T T T"
Te 1.020 -8.411 -0.183
Te -3.528 -4.417 -3.139
Br 0.000 0.000 0.000
Hg -1.254 -6.414 -1.661

=====

# 2
4
Lattice="3.060 0.000 0.000 0.000 4.530 0.000 -1.530 -2.265 4.816" Properties=species:S:1:pos:R:3 comment="PBEsol CaRuW2, optimized geometry" relative_energy_mev_per_atom=1 formation_enthalpy_0k_ev_per_atom=0.497 pbc="T T T"
Ca 1.530 0.000 0.000
W 1.530 2.265 2.239
W 0.000 0.000 2.578
Ru 0.000 2.265 0.000

=====

# 3
30
Lattice="6.699 0.000 0.004 1.546 6.556 0.003 3.326 0.439 8.921" Properties=species:S:1:pos:R:3 comment="PBEsol Ca2Si3PbO9, optimized geometry" formation_energy_uncorrected_ev_per_atom=-2.767 pbc="T T T"
O 4.260 5.089 1.091
O 8.046 2.656 3.927
O 4.036 6.438 3.341
O 5.750 5.967 5.282
O 1.208 0.787 1.113
O 5.962 2.652 5.693
O 3.877 2.630 2.143
O 3.524 4.339 5.001
O 7.310 1.906 7.837
O 5.608 4.344 3.234
O 5.418 3.857 8.072
O 5.821 1.028 3.645
O 6.153 3.138 0.856
O 10.362 6.208 7.815
O 8.566 5.169 2.303
O 7.534 0.557 5.587
O 7.694 4.365 6.785
O 3.004 1.826 6.624
Si 4.987 3.759 1.790
Si 3.191 6.038 1.956
Si 6.886 1.765 4.601
Si 4.684 5.230 4.326
Si 6.583 3.236 7.138
Si 8.379 0.957 6.971
Ca 3.646 1.989 4.405
Ca 9.871 4.005 7.415
Ca 1.699 2.991 1.513
Ca 7.925 5.006 4.523
Pb 5.481 0.677 1.390
Pb 6.089 6.319 7.537

=====

# 4
4
Lattice="2.757 0.000 0.000 0.000 3.403 0.000 0.000 0.000 5.875" Properties=species:S:1:pos:R:3 comment="PBEsol Co2AsAu, optimized geometry" formation_enthalpy_0k_ev_per_atom=0.155 pbc="T T T"
Co 1.379 1.701 1.363
Co 0.000 0.000 0.252
Au 1.379 1.701 4.603
As 0.000 0.000 2.595

=====

# 5
5
Lattice="-4.842 -1.355 1.838 1.132 -0.760 -5.374 0.708 -4.988 -1.812" Properties=species:S:1:pos:R:3 comment="PBEsol La2AgRh2, optimized geometry" relative_energy_mev_per_atom=156 formation_enthalpy_0k_ev_per_atom=-0.367 pbc="T T T"
La -0.467 -1.966 -2.680
La -2.535 -5.137 -2.667
Ag 0.000 0.000 0.000
Rh -0.396 -4.278 -4.197
Rh -2.606 -2.825 -1.151

=====

# 6
4
Lattice="-1.160 1.399 2.504 -1.949 -0.624 -2.465 -2.353 -9.655 4.304" Properties=species:S:1:pos:R:3 comment="PBEsol ZrAsCl2, optimized geometry" relative_energy_mev_per_atom=284 formation_energy_uncorrected_ev_per_atom=-0.566 pbc="T T T"
Zr -1.756 -4.128 3.404
Cl -1.609 -6.604 2.944
Cl -0.743 -3.051 1.360
As -0.580 0.699 1.252

=====

# 7
4
Lattice="-2.194 -1.894 1.636 3.240 -1.179 2.981 -1.117 3.558 2.621" Properties=species:S:1:pos:R:3 comment="PBEsol TaAuSe2, optimized geometry" relative_energy_mev_per_atom=26 formation_energy_uncorrected_ev_per_atom=0.150 pbc="T T T"
Ta -0.036 0.242 3.619
Au -1.097 -0.947 0.818
Se 1.620 -0.589 1.491
Se -0.559 1.779 1.310

=====

# 8
4
Lattice="3.410 0.000 0.000 1.705 2.953 0.000 1.705 0.984 9.894" Properties=species:S:1:pos:R:3 comment="PBEsol CaSc2Rh, optimized geometry" relative_energy_mev_per_atom=128 formation_enthalpy_0k_ev_per_atom=-0.118 pbc="T T T"
Sc 5.115 2.953 3.261
Sc 1.705 0.984 6.633
Rh 3.410 1.969 4.947
Ca 0.000 0.000 0.000

=====

# 9
4
Lattice="-2.629 -2.322 2.788 1.493 -1.123 4.073 -1.709 1.980 3.638" Properties=species:S:1:pos:R:3 comment="PBEsol LaFeTc2, optimized geometry" relative_energy_mev_per_atom=193 formation_enthalpy_0k_ev_per_atom=0.570 pbc="T T T"
La 0.000 0.000 0.000
Tc -0.711 -0.366 2.625
Tc -2.134 -1.098 7.874
Fe -1.423 -0.732 5.249

=====

# 10
4
Lattice="5.025 0.000 0.000 2.512 4.351 0.000 2.512 1.450 4.103" Properties=species:S:1:pos:R:3 comment="PBEsol YMg2Hg, optimized geometry" formation_enthalpy_0k_ev_per_atom=-0.338 pbc="T T T"
Hg 2.512 1.450 1.026
Y 5.025 2.901 2.051
Mg 7.537 4.351 3.077
Mg 0.000 0.000 0.000

=====

# 11
5
Lattice="5.551 0.000 0.000 0.000 5.551 0.000 0.000 0.000 6.047" Properties=species:S:1:pos:R:3 comment="PBEsol CsMoAs2Br, optimized geometry" formation_energy_uncorrected_ev_per_atom=2.020 pbc="T T T"
Cs 0.000 0.000 0.000
As 2.775 0.000 0.000
As 0.000 2.775 0.000
Mo 2.775 2.775 3.023
Br 0.000 0.000 3.023

=====

# 12
5
Lattice="-4.061 -1.033 1.773 1.774 0.207 4.185 0.026 5.211 -2.743" Properties=species:S:1:pos:R:3 comment="PBEsol NaSn2H2, optimized geometry" final_energy_ev_per_cell=-14.765 pbc="T T T"
Sn -2.589 1.883 1.004
Sn 0.328 2.503 2.210
H -1.717 2.048 3.100
H -0.544 2.337 0.115
Na 0.000 0.000 0.000

=====

# 13
6
Lattice="-0.540 2.501 -1.843 -4.360 0.694 2.218 3.743 3.447 6.279" Properties=species:S:1:pos:R:3 comment="PBEsol Mg5Ag, optimized geometry" formation_enthalpy_0k_ev_per_atom=-0.061 pbc="T T T"
Mg 0.844 2.757 0.797
Mg 0.258 5.259 4.364
Mg -0.633 2.439 3.495
Mg -2.103 2.066 0.722
Mg 2.387 3.228 3.682
Ag 0.003 0.004 0.004